(1)
# KIn2Hg SCAN single point on PBEsol structure
# DFT formation energy   -127 meV/atom
data_KIn2Hg
_cell_length_a 7.5082
_cell_length_b 7.5082
_cell_length_c 7.5082
_cell_angle_alpha 90.00
_cell_angle_beta 90.00
_cell_angle_gamma 90.00
_space_group_name_H-M_alt 'F -4 3 m'
_space_group_IT_number 216
_space_group_name_Hall 'F -4 2 3'
loop_
_atom_site_label
_atom_site_type_symbol
_atom_site_fract_x
_atom_site_fract_y
_atom_site_fract_z
_atom_site_occupancy
K1 K 0.0000 0.0000 0.0000 1
In1 In 0.0000 0.0000 0.5000 1
In2 In 0.2500 0.2500 0.7500 1
Hg1 Hg 0.2500 0.2500 0.2500 1

(2)
# K2InHg SCAN single point on PBEsol structure
# DFT formation energy   -146 meV/atom
# Energy above the most stable polymorph in this dataset   84 meV/atom
data_K2InHg
_cell_length_a 3.9740
_cell_length_b 3.9740
_cell_length_c 9.6848
_cell_angle_alpha 90.00
_cell_angle_beta 90.00
_cell_angle_gamma 90.00
_space_group_name_H-M_alt 'P 4 m m'
_space_group_IT_number 99
loop_
_space_group_symop_operation_xyz
'x,y,z'
'-y,x,z'
'-x,-y,z'
'y,-x,z'
'-x,y,z'
'y,x,z'
'x,-y,z'
'-y,-x,z'
loop_
_atom_site_label
_atom_site_type_symbol
_atom_site_fract_x
_atom_site_fract_y
_atom_site_fract_z
_atom_site_occupancy
K1 K 0.0000 0.0000 0.0000 1
K2 K 0.5000 0.5000 0.3967 1
In1 In 0.5000 0.5000 0.7553 1
Hg1 Hg 0.0000 0.0000 0.6320 1

(3)
# K2InHg SCAN single point on PBEsol structure
# DFT formation energy   -27 meV/atom
# Energy above the most stable polymorph in this dataset   203 meV/atom
data_K2InHg
_cell_length_a 3.7650
_cell_length_b 3.7650
_cell_length_c 33.9731
_cell_angle_alpha 90.00
_cell_angle_beta 90.00
_cell_angle_gamma 120.00
_space_group_name_H-M_alt 'R -3 m'
_space_group_IT_number 166
_space_group_name_Hall '-R 3 2"'
loop_
_atom_site_label
_atom_site_type_symbol
_atom_site_fract_x
_atom_site_fract_y
_atom_site_fract_z
_atom_site_occupancy
K1 K 0.0000 0.0000 0.2472 1
In1 In 0.0000 0.0000 0.0000 1
Hg1 Hg 0.0000 0.0000 0.5000 1